1.
# ScCd3Te

An optimized crystal structure of ScCd3Te (PBE-GGA, Alexandria via LeMat-Bulk).

Computed properties:
The raw formation energy is 0.558 eV per atom. Its space-group type is Pm-3m, No. 221.

abc: 5.607 5.607 5.607
angles: 90.00 90.00 90.00
Positions (direct):
Sc1 0.000 0.000 0.000
Cd1 0.000 0.000 0.500
Cd2 0.000 0.500 0.000
Cd3 0.500 0.000 0.000
Te1 0.500 0.500 0.500

=====

2.
# ReSbPb

An optimized crystal structure of ReSbPb (PBE-GGA, Alexandria via LeMat-Bulk).

Computed properties:
The raw formation energy is 0.537 eV per atom. Its space-group type is P3m1, No. 156.

abc: 3.338 3.338 7.395
angles: 90.00 90.00 120.00
Positions (direct):
Re1 0.000 0.000 0.000
Sb1 0.667 0.333 0.253
Pb1 0.333 0.667 0.697

=====

3.
# NpAl4

An optimized crystal structure of NpAl4 (PBE-GGA, Alexandria via LeMat-Bulk).

Computed properties:
For the formation enthalpy at 0 K, the calculation gives -0.10 eV per atom. Its space-group type is Imma, No. 74.

abc: 7.873 7.873 7.873
angles: 147.43 134.04 57.46
Positions (direct):
Np1 0.359 0.109 0.250
Np2 0.641 0.891 0.750
Al1 0.000 0.500 0.500
Al2 0.137 0.887 0.250
Al3 0.179 0.699 0.480
Al4 0.281 0.301 0.980
Al5 0.500 0.500 0.000
Al6 0.719 0.699 0.020
Al7 0.821 0.301 0.520
Al8 0.863 0.113 0.750

=====

4.
# Ba6Na4Rh

An optimized crystal structure of Ba6Na4Rh (PBE-GGA, Alexandria via LeMat-Bulk).

Computed properties:
For the formation enthalpy at 0 K, the calculation gives -0.08 eV per atom. Its space-group type is P4/mnc, No. 128.

abc: 9.966 9.966 10.893
angles: 90.00 90.00 90.00
Positions (direct):
Ba1 0.000 0.000 0.218
Ba2 0.000 0.000 0.782
Ba3 0.144 0.284 0.500
Ba4 0.216 0.356 0.000
Ba5 0.284 0.856 0.500
Ba6 0.356 0.784 0.000
Ba7 0.500 0.500 0.282
Ba8 0.500 0.500 0.718
Ba9 0.644 0.216 0.000
Ba10 0.716 0.144 0.500
Ba11 0.784 0.644 0.000
Ba12 0.856 0.716 0.500
Na1 0.119 0.619 0.250
Na2 0.119 0.619 0.750
Na3 0.381 0.119 0.250
Na4 0.381 0.119 0.750
Na5 0.619 0.881 0.250
Na6 0.619 0.881 0.750
Na7 0.881 0.381 0.250
Na8 0.881 0.381 0.750
Rh1 0.000 0.000 0.500
Rh2 0.500 0.500 0.000

=====

5.
# Li5AlAu8

An optimized crystal structure of Li5AlAu8 (PBE-GGA, Alexandria via LeMat-Bulk).

Computed properties:
For the formation enthalpy at 0 K, the calculation gives -0.38 eV per atom. Its space-group type is I-4, No. 82.

abc: 6.735 6.735 6.735
angles: 109.88 109.88 108.66
Positions (direct):
Li1 0.000 0.000 0.000
Li2 0.195 0.292 0.664
Li3 0.469 0.805 0.097
Li4 0.628 0.531 0.336
Li5 0.708 0.372 0.903
Al1 0.250 0.750 0.500
Au1 0.160 0.432 0.086
Au2 0.345 0.074 0.914
Au3 0.417 0.157 0.406
Au4 0.568 0.655 0.728
Au5 0.751 0.011 0.594
Au6 0.843 0.249 0.260
Au7 0.926 0.840 0.272
Au8 0.989 0.583 0.740

=====

Number 1: E_tot -1.886 eV per atom, total moment 0.124 μB/atom. Number 2: E_tot -6.222 eV per atom, total moment 0.000 μB/atom. Number 3: E_tot -5.678 eV per atom, total moment 0.842 μB/atom. Number 4: E_tot -2.277 eV per atom, total moment 0.000 μB/atom. Number 5: E_tot -3.201 eV per atom, total moment 0.000 μB/atom.